[1]
A plane-wave DFT calculation with PBE was carried out for a relaxed structure of BaTlPb.

a b c (Å): 7.014 7.014 8.415
angles (deg): 125.11 125.11 42.68
Element x y z (fractional)
Ba: 0.053 0.053 0.300
Ba: 0.947 0.947 0.700
Tl: 0.337 0.337 0.925
Tl: 0.663 0.663 0.075
Pb: 0.337 0.337 0.313
Pb: 0.663 0.663 0.687

symmetry	C2/m
spin magnetization	0.00	μB per cell
energy relative to the elements	-41.4	kJ per mole of atoms

[2]
A plane-wave DFT calculation with PBE was carried out for a relaxed structure of MnCdIr2.

a b c (Å): 4.726 4.726 2.889
angles (deg): 90.00 90.00 105.60
Element x y z (fractional)
Mn: 0.000 0.000 0.000
Cd: 0.500 0.500 0.000
Ir: 0.000 0.500 0.500
Ir: 0.500 0.000 0.500

symmetry	Cmmm
spin magnetization	3.46	μB per cell
energy relative to the elements	17.2	kJ per mole of atoms

[3]
A plane-wave DFT calculation with PBE was carried out for a relaxed structure of CaGdIrPd.

a b c (Å): 4.916 4.916 4.916
angles (deg): 60.00 60.00 60.00
Element x y z (fractional)
Ca: 0.000 0.000 0.000
Gd: 0.500 0.500 0.500
Ir: 0.750 0.750 0.750
Pd: 0.250 0.250 0.250

symmetry	F-43m
spin magnetization	7.02	μB per cell
energy relative to the elements	-63.7	kJ per mole of atoms

[4]
A plane-wave DFT calculation with PBE was carried out for a relaxed structure of PrCdPd6.

a b c (Å): 5.899 5.899 4.693
angles (deg): 90.00 90.00 120.00
Element x y z (fractional)
Pr: 0.000 0.000 0.000
Cd: 0.667 0.333 0.500
Pd: 0.002 0.501 0.000
Pd: 0.175 0.351 0.500
Pd: 0.175 0.825 0.500
Pd: 0.499 0.501 0.000
Pd: 0.499 0.998 0.000
Pd: 0.649 0.825 0.500

symmetry	P-6m2
energy above the lowest structure with this stoichiometry	0.00	eV per formula unit
spin magnetization	0.00	μB per cell
energy relative to the elements	-45.0	kJ per mole of atoms

[5]
A plane-wave DFT calculation with PBE was carried out for a relaxed structure of CsDyRuO6.

a b c (Å): 5.673 5.673 6.491
angles (deg): 90.00 90.00 120.00
Element x y z (fractional)
Cs: 0.000 0.000 0.000
Dy: 0.333 0.667 0.500
Ru: 0.667 0.333 0.500
O: 0.420 0.047 0.671
O: 0.420 0.374 0.329
O: 0.626 0.047 0.329
O: 0.626 0.580 0.671
O: 0.953 0.374 0.671
O: 0.953 0.580 0.329

symmetry	P312
spin magnetization	0.00	μB per cell
E_form (uncorrected)	-1.527	eV/atom

[6]
A plane-wave DFT calculation with PBE was carried out for a relaxed structure of Tl4Cd5Hg.

a b c (Å): 7.372 7.372 7.372
angles (deg): 100.61 100.61 129.18
Element x y z (fractional)
Tl: 0.063 0.682 0.745
Tl: 0.318 0.063 0.381
Tl: 0.682 0.937 0.619
Tl: 0.937 0.318 0.255
Cd: 0.260 0.395 0.650
Cd: 0.395 0.745 0.135
Cd: 0.610 0.260 0.865
Cd: 0.745 0.610 0.350
Cd: 0.771 0.771 0.000
Hg: 0.230 0.230 0.000

symmetry	I4
spin magnetization	0.00	μB per cell
energy relative to the elements	6.3	kJ per mole of atoms

Repeat the second record exactly.
A plane-wave DFT calculation with PBE was carried out for a relaxed structure of MnCdIr2.

a b c (Å): 4.726 4.726 2.889
angles (deg): 90.00 90.00 105.60
Element x y z (fractional)
Mn: 0.000 0.000 0.000
Cd: 0.500 0.500 0.000
Ir: 0.000 0.500 0.500
Ir: 0.500 0.000 0.500

symmetry	Cmmm
spin magnetization	3.46	μB per cell
energy relative to the elements	17.2	kJ per mole of atoms